(1)
Below is a relaxed structure of KInH8C4O12, with properties calculated at the PBE-GGA level.

Summary:
- E: -316.94 eV/cell

Cell: 9.1515 9.1515 9.1515 Å, 104.03 104.03 121.00°
Fractional positions:
1 K 0.3750 0.1250 0.2500
2 K 0.6250 0.8750 0.7500
3 In 0.1250 0.3750 0.7500
4 In 0.8750 0.6250 0.2500
5 H 0.0107 0.1819 0.1796
6 H 0.1462 0.2474 0.0917
7 H 0.2526 0.8443 0.8988
8 H 0.3181 0.9977 0.8288
9 H 0.3311 0.5107 0.3288
10 H 0.3443 0.9455 0.5917
11 H 0.4455 0.3538 0.6012
12 H 0.4977 0.1689 0.6796
13 H 0.5023 0.8311 0.3204
14 H 0.5545 0.6462 0.3988
15 H 0.6557 0.0545 0.4083
16 H 0.6689 0.4893 0.6712
17 H 0.6819 0.0023 0.1712
18 H 0.7474 0.1557 0.1012
19 H 0.8538 0.7526 0.9083
20 H 0.9893 0.8181 0.8204
21 C 0.0767 0.6031 0.0193
22 C 0.0838 0.0574 0.4807
23 C 0.1031 0.5838 0.5264
24 C 0.4426 0.4233 0.0264
25 C 0.5574 0.5767 0.9736
26 C 0.8969 0.4162 0.4736
27 C 0.9162 0.9426 0.5193
28 C 0.9233 0.3969 0.9807
29 O 0.0910 0.7314 0.1264
30 O 0.1050 0.9646 0.3736
31 O 0.1286 0.6894 0.4511
32 O 0.1462 0.2571 0.2011
33 O 0.1775 0.6286 0.9392
34 O 0.1894 0.2383 0.5608
35 O 0.2314 0.6050 0.6404
36 O 0.2429 0.9440 0.8891
37 O 0.2617 0.3225 0.9511
38 O 0.4440 0.0548 0.7011
39 O 0.4452 0.6462 0.3891
40 O 0.4646 0.5910 0.8596
41 O 0.5354 0.4090 0.1404
42 O 0.5548 0.3538 0.6109
43 O 0.5560 0.9452 0.2989
44 O 0.7383 0.6775 0.0489
45 O 0.7571 0.0560 0.1109
46 O 0.7686 0.3950 0.3596
47 O 0.8106 0.7617 0.4392
48 O 0.8225 0.3714 0.0608
49 O 0.8538 0.7429 0.7989
50 O 0.8714 0.3106 0.5489
51 O 0.8950 0.0354 0.6264
52 O 0.9090 0.2686 0.8736

---

(2)
Below is a relaxed structure of SrUPdSe3, with properties calculated at the PBE-GGA level.

Summary:
- Raw formation energy: -1.258 eV/atom

Cell: 8.4467 4.1193 9.2345 Å, 90.00 105.48 90.00°
Fractional positions:
1 Sr 0.1930 0.2500 0.2532
2 Sr 0.8070 0.7500 0.7468
3 U 0.3182 0.7500 0.8308
4 U 0.6818 0.2500 0.1692
5 Pd 0.1006 0.2500 0.5905
6 Pd 0.8994 0.7500 0.4095
7 Se 0.0971 0.2500 0.8721
8 Se 0.2504 0.7500 0.5212
9 Se 0.4349 0.7500 0.1576
10 Se 0.5651 0.2500 0.8424
11 Se 0.7496 0.2500 0.4788
12 Se 0.9029 0.7500 0.1279

---

(3)
Below is a relaxed structure of LiB2F, with properties calculated at the PBE-GGA level.

Summary:
- Raw formation energy: 1.372 eV/atom

Cell: 4.0051 4.0051 4.0051 Å, 60.00 60.00 60.00°
Fractional positions:
1 Li 0.0000 0.0000 0.0000
2 B 0.2500 0.2500 0.2500
3 B 0.7500 0.7500 0.7500
4 F 0.5000 0.5000 0.5000